A plane-wave DFT calculation with PBE with a Hubbard U was carried out for a geometry-optimized VCoF3 structure.

POSCAR file:
```
VCoF3
1.0
4.0629 0.0000 0.0000
0.0000 4.0629 0.0000
0.0000 0.0000 4.0629
V Co F
1 1 3
direct
0.0000 0.0000 0.0000
0.5000 0.5000 0.5000
0.0000 0.5000 0.5000
0.5000 0.0000 0.5000
0.5000 0.5000 0.0000
```

## Properties
Total DFT energy (no corrections) (eV/atom): -4.8238
Polymorph energy (0 for the lowest one) (meV/atom): 480.7
Magnetization (μB per cell): 6.24